[1]
Density functional theory data (PBE-GGA) for a relaxed Sr2AlZn4In3 crystal.

a = 4.5426 Å, b = 4.5426 Å, c = 11.5232 Å
α = 90.00°, β = 90.00°, γ = 90.00°
Space group P-4m2 (No. 115)
Inequivalent atoms, fractional coordinates:
Sr 0.0000 0.5000 0.2492 x2
Al 0.5000 0.5000 0.0000 x1
Zn 0.0000 0.0000 0.5000 x1
Zn 0.0000 0.5000 0.8672 x2
Zn 0.5000 0.5000 0.5000 x1
In 0.0000 0.0000 0.0000 x1
In 0.0000 0.5000 0.6335 x2

## Properties
total magnetic moment	0.0	μB per formula unit
DOS at the Fermi energy	4.9	states/eV/cell
DFT total energy	-22.96	eV per cell
crystal system	tetragonal


[2]
Density functional theory data (PBE-GGA) for a relaxed Sr2AlZnIn6 crystal.

a = 7.3032 Å, b = 7.3032 Å, c = 37.5333 Å
α = 90.00°, β = 90.00°, γ = 120.00°
Space group R-3m (No. 166, hexagonal axes)
Inequivalent atoms, fractional coordinates:
Sr 0.0000 0.0000 0.1086 x6
Sr 0.0000 0.0000 0.2826 x6
Al 0.0000 0.0000 0.4280 x6
Zn 0.0000 0.0000 0.0000 x3
Zn 0.0000 0.0000 0.5000 x3
In 0.0455 0.5228 0.2985 x18
In 0.0575 0.5287 0.8664 x18

## Properties
total magnetic moment	0.0	μB per formula unit
DOS at the Fermi energy	25.3	states/eV/cell
DFT total energy	-156.34	eV per cell
crystal system	trigonal


[3]
Density functional theory data (PBE-GGA) for a relaxed Sr2Al4Zn3In crystal.

a = 4.4109 Å, b = 4.4109 Å, c = 11.3142 Å
α = 90.00°, β = 90.00°, γ = 90.00°
Space group P-4m2 (No. 115)
Inequivalent atoms, fractional coordinates:
Sr 0.0000 0.5000 0.2419 x2
Al 0.0000 0.0000 0.0000 x1
Al 0.0000 0.5000 0.6459 x2
Al 0.5000 0.5000 0.0000 x1
Zn 0.0000 0.5000 0.8703 x2
Zn 0.5000 0.5000 0.5000 x1
In 0.0000 0.0000 0.5000 x1

## Properties
total magnetic moment	0.0	μB per formula unit
DOS at the Fermi energy	4.5	states/eV/cell
DFT total energy	-27.38	eV per cell
crystal system	tetragonal


[4]
Density functional theory data (PBE-GGA) for a relaxed SrZrAl2In crystal.

a = 5.6502 Å, b = 5.6502 Å, c = 5.7850 Å
α = 90.00°, β = 90.00°, γ = 90.00°
Space group P4/mmm (No. 123)
Inequivalent atoms, fractional coordinates:
Sr 0.0000 0.0000 0.0000 x1
Zr 0.5000 0.5000 0.5000 x1
Al 0.0000 0.5000 0.0000 x2
In 0.0000 0.0000 0.5000 x1

## Properties
total magnetic moment	0.0	μB per formula unit
DOS at the Fermi energy	7.7	states/eV/cell
DFT total energy	-13.03	eV per cell
crystal system	tetragonal


[5]
Density functional theory data (PBE-GGA) for a relaxed TaAl2In crystal.

a = 7.5206 Å, b = 7.5206 Å, c = 5.6995 Å
α = 90.00°, β = 90.00°, γ = 90.00°
Space group I-42d (No. 122)
Inequivalent atoms, fractional coordinates:
Ta 0.0000 0.0000 0.0000 x4
Al 0.2459 0.7500 0.1250 x8
In 0.0000 0.0000 0.5000 x4

## Properties
total magnetic moment	0.0	μB per formula unit
DOS at the Fermi energy	9.8	states/eV/cell
DFT total energy	-79.88	eV per cell
crystal system	tetragonal


[6]
Density functional theory data (PBE-GGA) for a relaxed Ta2AlIn crystal.

a = 5.7662 Å, b = 8.7972 Å, c = 2.8965 Å
α = 90.00°, β = 95.92°, γ = 90.00°
Space group C2/m (No. 12)
Inequivalent atoms, fractional coordinates:
Ta 0.2500 0.2500 0.0000 x4
Al 0.0000 0.0000 0.5000 x2
In 0.0000 0.5000 0.5000 x2

## Properties
total magnetic moment	0.0	μB per formula unit
DOS at the Fermi energy	4.4	states/eV/cell
DFT total energy	-59.98	eV per cell
crystal system	monoclinic


[7]
Density functional theory data (PBE-GGA) for a relaxed TaAl2In crystal.

a = 2.8535 Å, b = 4.6966 Å, c = 5.4897 Å
α = 90.00°, β = 90.00°, γ = 90.00°
Space group Pmmm (No. 47)
Inequivalent atoms, fractional coordinates:
Ta 0.0000 0.0000 0.0000 x1
Al 0.5000 0.5000 0.2313 x2
In 0.5000 0.0000 0.5000 x1

## Properties
total magnetic moment	0.0	μB per formula unit
DOS at the Fermi energy	1.1	states/eV/cell
DFT total energy	-21.84	eV per cell
crystal system	orthorhombic


[8]
Density functional theory data (PBE-GGA) for a relaxed TaAlIn crystal.

a = 3.0473 Å, b = 3.0473 Å, c = 7.2062 Å
α = 90.00°, β = 90.00°, γ = 120.00°
Space group P3m1 (No. 156)
Inequivalent atoms, fractional coordinates:
Ta 0.0000 0.0000 0.0000 x1
Al 0.3333 0.6667 0.3058 x1
In 0.6667 0.3333 0.6534 x1

## Properties
total magnetic moment	0.0	μB per formula unit
DOS at the Fermi energy	2.0	states/eV/cell
energy above the most stable polymorph in this dataset	0	meV/atom
crystal system	trigonal


Question: total magnetic moment of number 1 (Sr2AlZn4In3)?
Answer: 0.0 μB per formula unit


Please write out number 6 again, unchanged.
Density functional theory data (PBE-GGA) for a relaxed Ta2AlIn crystal.

a = 5.7662 Å, b = 8.7972 Å, c = 2.8965 Å
α = 90.00°, β = 95.92°, γ = 90.00°
Space group C2/m (No. 12)
Inequivalent atoms, fractional coordinates:
Ta 0.2500 0.2500 0.0000 x4
Al 0.0000 0.0000 0.5000 x2
In 0.0000 0.5000 0.5000 x2

## Properties
total magnetic moment	0.0	μB per formula unit
DOS at the Fermi energy	4.4	states/eV/cell
DFT total energy	-59.98	eV per cell
crystal system	monoclinic


Question: Which value of DOS at the Fermi energy does entry 1 give?
Answer: 4.9 states/eV/cell